i) DFT (GGA-PBE) results for crystalline CsMoAs at its relaxed geometry.

Results
* M_tot: 0.002 μB/atom

Cell lengths 6.638, 6.638, 6.638 Å; angles 90.00, 90.00, 90.00 degrees
Positions (direct):
Cs  0.000  0.000  0.000
Cs  0.000  0.500  0.500
Cs  0.500  0.000  0.500
Cs  0.500  0.500  0.000
Mo  0.250  0.250  0.750
Mo  0.250  0.750  0.250
Mo  0.750  0.250  0.250
Mo  0.750  0.750  0.750
As  0.000  0.000  0.500
As  0.000  0.500  0.000
As  0.500  0.000  0.000
As  0.500  0.500  0.500

ii) DFT (GGA-PBE) results for crystalline CsMoAs at its relaxed geometry.

Results
* M_tot: 1.333 μB/atom

Cell lengths 7.407, 7.407, 7.407 Å; angles 90.00, 90.00, 90.00 degrees
Positions (direct):
Cs  0.000  0.000  0.000
Cs  0.000  0.500  0.500
Cs  0.500  0.000  0.500
Cs  0.500  0.500  0.000
Mo  0.000  0.000  0.500
Mo  0.000  0.500  0.000
Mo  0.500  0.000  0.000
Mo  0.500  0.500  0.500
As  0.250  0.250  0.250
As  0.250  0.750  0.750
As  0.750  0.250  0.750
As  0.750  0.750  0.250

iii) DFT (GGA-PBE) results for crystalline CsMoAs at its relaxed geometry.

Results
* M_tot: 1.333 μB/atom

Cell lengths 7.569, 7.569, 7.569 Å; angles 90.00, 90.00, 90.00 degrees
Positions (direct):
Cs  0.000  0.000  0.000
Cs  0.000  0.500  0.500
Cs  0.500  0.000  0.500
Cs  0.500  0.500  0.000
Mo  0.250  0.250  0.250
Mo  0.250  0.750  0.750
Mo  0.750  0.250  0.750
Mo  0.750  0.750  0.250
As  0.250  0.250  0.750
As  0.250  0.750  0.250
As  0.750  0.250  0.250
As  0.750  0.750  0.750

Here are the energies relative to the best structure, in kJ/mol of atoms: i) 0.0; ii) 10.0; iii) 73.7.

i) DFT (GGA-PBE) results for crystalline CsNbAsO at its relaxed geometry.

Results
* M_tot: 0.001 μB/atom

Cell lengths 4.218, 4.218, 12.541 Å; angles 90.00, 90.00, 90.00 degrees
Positions (direct):
Cs  0.250  0.250  0.150
Cs  0.750  0.750  0.850
Nb  0.250  0.750  0.500
Nb  0.750  0.250  0.500
As  0.250  0.250  0.621
As  0.750  0.750  0.379
O  0.250  0.750  0.000
O  0.750  0.250  0.000

ii) DFT (GGA-PBE) results for crystalline CsNbAsO at its relaxed geometry.

Results
* M_tot: 0.250 μB/atom

Cell lengths 3.919, 8.771, 6.846 Å; angles 90.00, 90.00, 90.00 degrees
Positions (direct):
Cs  0.000  0.179  0.000
Cs  0.000  0.821  0.500
Nb  0.500  0.411  0.562
Nb  0.500  0.589  0.062
As  0.000  0.237  0.497
As  0.000  0.763  0.997
O  0.500  0.437  0.850
O  0.500  0.563  0.350

iii) DFT (GGA-PBE) results for crystalline CsNbAsO at its relaxed geometry.

Results
* M_tot: 0.022 μB/atom

Cell lengths 4.276, 4.276, 11.825 Å; angles 90.00, 90.00, 90.00 degrees
Positions (direct):
Cs  0.250  0.250  0.152
Cs  0.750  0.750  0.848
Nb  0.250  0.750  0.500
Nb  0.750  0.250  0.500
As  0.250  0.250  0.624
As  0.750  0.750  0.376
O  0.250  0.750  0.000
O  0.750  0.250  0.000

iv) DFT (GGA-PBE) results for crystalline CsNbAsO at its relaxed geometry.

Results
* M_tot: 0.059 μB/atom

Cell lengths 3.589, 7.782, 7.828 Å; angles 90.00, 90.00, 90.00 degrees
Positions (direct):
Cs  0.000  0.188  0.000
Cs  0.000  0.812  0.500
Nb  0.500  0.313  0.443
Nb  0.500  0.687  0.943
As  0.500  0.471  0.717
As  0.500  0.529  0.217
O  0.000  0.200  0.416
O  0.000  0.800  0.916

Here are the energies relative to the best structure, in kJ/mol of atoms: i) 86.8; ii) 0.0; iii) 88.3; iv) 7.9.

i) DFT (GGA-PBE) results for crystalline CsAsOsO at its relaxed geometry.

Results
* M_tot: 0.000 μB/atom

Cell lengths 3.806, 8.304, 6.818 Å; angles 90.00, 90.00, 90.00 degrees
Positions (direct):
Cs  0.000  0.186  0.000
Cs  0.000  0.814  0.500
As  0.000  0.263  0.505
As  0.000  0.737  0.005
Os  0.500  0.424  0.577
Os  0.500  0.576  0.077
O  0.500  0.424  0.861
O  0.500  0.576  0.361

ii) DFT (GGA-PBE) results for crystalline CsAsOsO at its relaxed geometry.

Results
* M_tot: 0.029 μB/atom

Cell lengths 3.873, 3.873, 12.674 Å; angles 90.00, 90.00, 90.00 degrees
Positions (direct):
Cs  0.250  0.250  0.161
Cs  0.750  0.750  0.839
As  0.250  0.250  0.624
As  0.750  0.750  0.376
Os  0.250  0.750  0.500
Os  0.750  0.250  0.500
O  0.250  0.750  0.000
O  0.750  0.250  0.000

iii) DFT (GGA-PBE) results for crystalline CsAsOsO at its relaxed geometry.

Results
* M_tot: 0.001 μB/atom

Cell lengths 3.751, 6.433, 8.176 Å; angles 90.00, 90.00, 90.00 degrees
Positions (direct):
Cs  0.000  0.132  0.000
Cs  0.000  0.868  0.500
As  0.500  0.368  0.657
As  0.500  0.632  0.157
Os  0.500  0.363  0.356
Os  0.500  0.637  0.856
O  0.000  0.331  0.353
O  0.000  0.669  0.853

Here are the energies relative to the best structure, in kJ/mol of atoms: i) 0.0; ii) 37.3; iii) 1.3.

i) DFT (GGA-PBE) results for crystalline CsPaAsO at its relaxed geometry.

Results
* M_tot: 0.250 μB/atom

Cell lengths 4.462, 4.462, 10.059 Å; angles 90.00, 90.00, 90.00 degrees
Positions (direct):
Cs  0.250  0.750  0.000
Cs  0.750  0.250  0.000
Pa  0.250  0.250  0.407
Pa  0.750  0.750  0.593
As  0.250  0.250  0.733
As  0.750  0.750  0.267
O  0.250  0.750  0.500
O  0.750  0.250  0.500

ii) DFT (GGA-PBE) results for crystalline CsPaAsO at its relaxed geometry.

Results
* M_tot: 0.250 μB/atom

Cell lengths 4.034, 7.973, 8.334 Å; angles 90.00, 90.00, 90.00 degrees
Positions (direct):
Cs  0.000  0.140  0.000
Cs  0.000  0.860  0.500
Pa  0.500  0.334  0.415
Pa  0.500  0.666  0.915
As  0.500  0.370  0.743
As  0.500  0.630  0.243
O  0.000  0.224  0.363
O  0.000  0.776  0.863

Here are the energies relative to the best structure, in kJ/mol of atoms: i) 6.7; ii) 0.0.